The following is a GGA+U calculation of Cs4Rb2ZnCoO5 after structural relaxation, from OQMD.

Cell lengths 7.086, 7.086, 7.148 Å; angles 92.31, 92.31, 117.33 degrees
Fractional positions:
Cs1 0.000 0.000 0.000
Cs2 0.288 0.288 0.592
Cs3 0.441 0.860 0.802
Cs4 0.860 0.441 0.802
Rb1 0.422 0.886 0.300
Rb2 0.886 0.422 0.300
Zn1 0.851 0.851 0.468
Co1 0.446 0.446 0.107
O1 0.089 0.816 0.562
O2 0.212 0.484 0.047
O3 0.484 0.212 0.047
O4 0.684 0.684 0.246
O5 0.816 0.089 0.562

Computed properties:
- SG = No. 8
- volume (Å³/atom) = 24.45
- E (eV for the cell shown) = -51.70